[1]
Computed, not measured: crystalline Ta3VCr at its relaxed geometry at the PBE-GGA level of DFT.

Computed properties:
* calculated density: 11.041 Mg/m³
* DOS at the Fermi energy: 5.473 states/eV/f.u.
* energy above the lowest structure with this stoichiometry: 0 meV/atom
* DFT formation energy: 25.81 kcal/mol of atoms

a b c (Å): 4.597 4.597 4.597
angles (deg): 90.00 90.00 90.00
Fractional positions:
Ta 0.000 0.000 0.500
Ta 0.000 0.500 0.000
Ta 0.500 0.000 0.000
V 0.500 0.500 0.500
Cr 0.000 0.000 0.000

***

[2]
Computed, not measured: crystalline TaVCr at its relaxed geometry at the PBE-GGA level of DFT.

Computed properties:
* calculated density: 10.819 Mg/m³
* DOS at the Fermi energy: 3.047 states/eV/f.u.
* DFT formation energy: 1.18 kcal/mol of atoms

a b c (Å): 4.238 4.238 2.801
angles (deg): 90.00 90.00 120.00
Fractional positions:
Ta 0.000 0.000 0.000
V 0.667 0.333 0.374
Cr 0.333 0.667 0.671

***

[3]
Computed, not measured: crystalline TaV3Cr at its relaxed geometry at the PBE-GGA level of DFT.

Computed properties:
* calculated density: 8.749 Mg/m³
* DOS at the Fermi energy: 5.271 states/eV/f.u.
* energy above the lowest structure with this stoichiometry: 0 meV/atom
* DFT formation energy: 4.59 kcal/mol of atoms

a b c (Å): 6.371 6.371 4.826
angles (deg): 90.00 90.00 131.63
Fractional positions:
Ta 0.076 0.924 0.750
Ta 0.924 0.076 0.250
V 0.097 0.402 0.750
V 0.319 0.681 0.250
V 0.402 0.097 0.250
V 0.598 0.903 0.750
V 0.681 0.319 0.750
V 0.903 0.598 0.250
Cr 0.500 0.500 0.000
Cr 0.500 0.500 0.500